! PBE Ba2GaGeW, relaxed; values from VASP
! - Crystal system: tetragonal
! - DFT total energy: -4.09 eV per atom
! - Energy relative to the elements: 801 meV per atom
&SYSTEM
  ibrav = 0, nat = 5, ntyp = 4
/
ATOMIC_SPECIES
Ge 72.64 Ge.upf
Ga 69.72 Ga.upf
Ba 137.33 Ba.upf
W 183.84 W.upf
CELL_PARAMETERS angstrom
6.221 0.000 0.000
0.000 4.865 0.000
0.000 0.000 6.221
ATOMIC_POSITIONS crystal
Ge 0.500 0.500 0.500
Ga 0.000 0.000 0.000
Ba 0.000 0.000 0.500
Ba 0.500 0.000 0.000
W 0.000 0.500 0.000